(1)
Material: Ti3SnSb
Method: DFT, PBE
State: optimized geometry

Properties
formation energy without anion corrections: 287 kJ/mol of formula units
energy above the most stable polymorph in this dataset: 0.717 eV per atom
total DFT energy (no corrections): -0.4238 Ry per atom

Unit cell a=5.025 b=5.025 c=5.025 alpha=90.00 beta=90.00 gamma=90.00
Fractional coordinates of all 5 atoms:
Ti  0.000  0.000  0.500
Ti  0.000  0.500  0.000
Ti  0.500  0.000  0.000
Sn  0.500  0.500  0.500
Sb  0.000  0.000  0.000

(2)
Material: Ti2SnSb
Method: DFT, PBE
State: optimized geometry

Properties
formation energy without anion corrections: -67 kJ/mol of formula units
total DFT energy (no corrections): -0.4522 Ry per atom

Unit cell a=3.959 b=3.959 c=19.628 alpha=90.00 beta=90.00 gamma=120.00
Fractional coordinates of all 12 atoms:
Ti  0.000  0.000  0.000
Ti  0.000  0.000  0.173
Ti  0.333  0.667  0.667
Ti  0.333  0.667  0.840
Ti  0.667  0.333  0.333
Ti  0.667  0.333  0.507
Sn  0.000  0.000  0.755
Sn  0.333  0.667  0.421
Sn  0.667  0.333  0.088
Sb  0.000  0.000  0.584
Sb  0.333  0.667  0.251
Sb  0.667  0.333  0.918

(3)
Material: TiSnSb2
Method: DFT, PBE
State: optimized geometry

Properties
formation energy without anion corrections: -34 kJ/mol of formula units
total DFT energy (no corrections): -0.3766 Ry per atom

Unit cell a=3.799 b=3.799 c=24.484 alpha=90.00 beta=90.00 gamma=120.00
Fractional coordinates of all 12 atoms:
Ti  0.000  0.000  0.000
Ti  0.333  0.667  0.667
Ti  0.667  0.333  0.333
Sn  0.000  0.000  0.837
Sn  0.333  0.667  0.503
Sn  0.667  0.333  0.170
Sb  0.000  0.000  0.405
Sb  0.000  0.000  0.594
Sb  0.333  0.667  0.072
Sb  0.333  0.667  0.261
Sb  0.667  0.333  0.739
Sb  0.667  0.333  0.928

(4)
Material: TiSnSb
Method: DFT, PBE
State: optimized geometry

Properties
formation energy without anion corrections: 38 kJ/mol of formula units
energy above the most stable polymorph in this dataset: 0.467 eV per atom
total DFT energy (no corrections): -0.3828 Ry per atom

Unit cell a=5.004 b=5.004 c=3.134 alpha=90.00 beta=90.00 gamma=120.00
Fractional coordinates of all 3 atoms:
Ti  0.000  0.000  0.000
Sn  0.667  0.333  0.000
Sb  0.333  0.667  0.500

(5)
Material: TiSnSb
Method: DFT, PBE
State: optimized geometry

Properties
formation energy without anion corrections: 59 kJ/mol of formula units
energy above the most stable polymorph in this dataset: 0.540 eV per atom
total DFT energy (no corrections): -0.3775 Ry per atom

Unit cell a=6.845 b=6.845 c=6.845 alpha=90.00 beta=90.00 gamma=90.00
Fractional coordinates of all 12 atoms:
Ti  0.006  0.006  0.006
Ti  0.494  0.994  0.506
Ti  0.506  0.494  0.994
Ti  0.994  0.506  0.494
Sn  0.103  0.603  0.897
Sn  0.397  0.397  0.397
Sn  0.603  0.897  0.103
Sn  0.897  0.103  0.603
Sb  0.148  0.852  0.352
Sb  0.352  0.148  0.852
Sb  0.648  0.648  0.648
Sb  0.852  0.352  0.148

(6)
Material: TiSnSb2
Method: DFT, PBE
State: optimized geometry

Properties
formation energy without anion corrections: -51 kJ/mol of formula units
total DFT energy (no corrections): -0.3799 Ry per atom

Unit cell a=3.323 b=3.323 c=31.914 alpha=90.00 beta=90.00 gamma=120.00
Fractional coordinates of all 12 atoms:
Ti  0.000  0.000  0.000
Ti  0.333  0.667  0.667
Ti  0.667  0.333  0.333
Sn  0.000  0.000  0.500
Sn  0.333  0.667  0.167
Sn  0.667  0.333  0.833
Sb  0.000  0.000  0.399
Sb  0.000  0.000  0.601
Sb  0.333  0.667  0.066
Sb  0.333  0.667  0.267
Sb  0.667  0.333  0.733
Sb  0.667  0.333  0.934

Please write out number 4 again, unchanged.
Material: TiSnSb
Method: DFT, PBE
State: optimized geometry

Properties
formation energy without anion corrections: 38 kJ/mol of formula units
energy above the most stable polymorph in this dataset: 0.467 eV per atom
total DFT energy (no corrections): -0.3828 Ry per atom

Unit cell a=5.004 b=5.004 c=3.134 alpha=90.00 beta=90.00 gamma=120.00
Fractional coordinates of all 3 atoms:
Ti  0.000  0.000  0.000
Sn  0.667  0.333  0.000
Sb  0.333  0.667  0.500

Q: formation energy without anion corrections of number 4 (TiSnSb)?
A: 38 kJ/mol of formula units

Q: formation energy without anion corrections of number 1 (Ti3SnSb)?
A: 287 kJ/mol of formula units